[1]
This record from Alexandria describes an optimized crystal structure of La2AsOsSe. The functional is PBEsol.

Computed properties:
As for the space group: P4/mmm (123). As for the uncorrected formation energy: 0.537 eV per atom. The calculation puts the density of states at the Fermi level at 0.95 states/eV per atom. The electronic total energy comes out at -29.2 eV/cell.

Cell: 5.5866 5.5866 4.6807 Å, 90.00 90.00 90.00°
Fractional coordinates of all 5 atoms:
La (0.0000, 0.5000, 0.0000)
La (0.5000, 0.0000, 0.0000)
As (0.0000, 0.0000, 0.0000)
Os (0.5000, 0.5000, 0.5000)
Se (0.0000, 0.0000, 0.5000)

[2]
This record from Alexandria describes an optimized crystal structure of LiSiCl. The functional is PBEsol.

Computed properties:
As for the space group: P3m1 (156). As for the uncorrected formation energy: -0.271 eV per atom. The calculation puts the density of states at the Fermi level at 0.39 states/eV per atom. The electronic total energy comes out at -10.5 eV/cell.

Cell: 3.1600 3.1600 6.1971 Å, 90.00 90.00 120.00°
Fractional coordinates of all 3 atoms:
Li (0.0000, 0.0000, 0.0000)
Si (0.3333, 0.6667, 0.6119)
Cl (0.6667, 0.3333, 0.2098)

[3]
This record from Alexandria describes an optimized crystal structure of Be2OsPt. The functional is PBEsol.

Computed properties:
As for the space group: I-4m2 (119). The energy relative to the elements comes out at -0.090 eV/atom. The calculation puts the density of states at the Fermi level at 0.44 states/eV per atom. The electronic total energy comes out at -27.5 eV/cell.

Cell: 4.8222 4.8222 4.8222 Å, 140.04 140.04 57.79°
Fractional coordinates of all 4 atoms:
Be (0.0000, 0.0000, 0.0000)
Be (0.7500, 0.2500, 0.5000)
Os (0.5000, 0.5000, 0.0000)
Pt (0.2500, 0.7500, 0.5000)

Respective total magnetization values: 1.10 0.00 0.00 μB/cell.